HIBr2 | PBE | relaxed

CIF file:
```
data_HIBr2
_space_group_name_H-M_alt 'F m -3 m'
_space_group_IT_number 225
_space_group_name_Hall '-F 4 2 3'
_cell_length_a 7.641
_cell_length_b 7.641
_cell_length_c 7.641
_cell_angle_alpha 90.00
_cell_angle_beta 90.00
_cell_angle_gamma 90.00
loop_
_atom_site_label
_atom_site_fract_x
_atom_site_fract_y
_atom_site_fract_z
H1 0.000 0.000 0.000
I1 0.000 0.000 0.500
Br1 0.250 0.250 0.250
```

Results
The value obtained for the energy above the most stable polymorph in this dataset is 100.3 kJ/mol of atoms.

***

LiAsIr2 | PBE | relaxed

CIF file:
```
data_LiAsIr2
_space_group_name_H-M_alt 'R 3 m'
_space_group_IT_number 160
_space_group_name_Hall 'R 3 -2"'
_cell_length_a 2.8443
_cell_length_b 2.8443
_cell_length_c 25.7084
_cell_angle_alpha 90.00
_cell_angle_beta 90.00
_cell_angle_gamma 120.00
loop_
_atom_site_label
_atom_site_fract_x
_atom_site_fract_y
_atom_site_fract_z
Li1 0.0000 0.0000 0.0000
As1 0.0000 0.0000 0.7544
Ir1 0.0000 0.0000 0.2510
Ir2 0.0000 0.0000 0.4974
```

Results
The energy of formation is 0.1 eV per formula unit.

***

PmY3Pt2 | PBE | relaxed

CIF file:
```
data_PmY3Pt2
_space_group_name_H-M_alt 'P m c 21'
_space_group_IT_number 26
_cell_length_a 4.815
_cell_length_b 8.895
_cell_length_c 7.217
_cell_angle_alpha 90.00
_cell_angle_beta 90.00
_cell_angle_gamma 90.00
loop_
_space_group_symop_operation_xyz
'x,y,z'
'-x,-y,z+1/2'
'-x,y,z'
'x,-y,z+1/2'
loop_
_atom_site_label
_atom_site_fract_x
_atom_site_fract_y
_atom_site_fract_z
Pm1 0.000 0.082 0.000
Y1 0.000 0.334 0.634
Y2 0.500 0.171 0.348
Y3 0.500 0.419 0.981
Pt1 0.000 0.345 0.234
Pt2 0.500 0.161 0.747
```

Results
The energy of formation is -5.5 eV per formula unit. The value obtained for the energy above the most stable polymorph in this dataset is 0.0 kJ/mol of atoms.

***

CaTbI2 | PBE | relaxed

CIF file:
```
data_CaTbI2
_space_group_name_H-M_alt 'R -3 m'
_space_group_IT_number 166
_space_group_name_Hall '-R 3 2"'
_cell_length_a 4.0765
_cell_length_b 4.0765
_cell_length_c 31.1707
_cell_angle_alpha 90.00
_cell_angle_beta 90.00
_cell_angle_gamma 120.00
loop_
_atom_site_label
_atom_site_fract_x
_atom_site_fract_y
_atom_site_fract_z
Ca1 0.0000 0.0000 0.0000
Tb1 0.0000 0.0000 0.5000
I1 0.0000 0.0000 0.3986
```

Results
The total energy comes out at -38.1 eV per cell.

***

Tb2ErTh2 | PBE | relaxed

CIF file:
```
data_Tb2ErTh2
_space_group_name_H-M_alt 'F d d d'
_space_group_IT_number 70
_cell_length_a 3.474
_cell_length_b 16.783
_cell_length_c 23.075
_cell_angle_alpha 90.00
_cell_angle_beta 90.00
_cell_angle_gamma 90.00
loop_
_space_group_symop_operation_xyz
'x,y,z'
'-x,-y,-z'
'-x+1/4,-y+1/4,z'
'x+1/4,y+1/4,-z'
'x,-y+1/4,-z+1/4'
'-x,y+1/4,z+1/4'
'-x+1/4,y,-z+1/4'
'x+1/4,-y,z+1/4'
'x,y+1/2,z+1/2'
'-x,-y+1/2,-z+1/2'
'-x+1/4,-y+3/4,z+1/2'
'x+1/4,y+3/4,-z+1/2'
'x,-y+3/4,-z+3/4'
'-x,y+3/4,z+3/4'
'-x+1/4,y+1/2,-z+3/4'
'x+1/4,-y+1/2,z+3/4'
'x+1/2,y,z+1/2'
'-x+1/2,-y,-z+1/2'
'-x+3/4,-y+1/4,z+1/2'
'x+3/4,y+1/4,-z+1/2'
'x+1/2,-y+1/4,-z+3/4'
'-x+1/2,y+1/4,z+3/4'
'-x+3/4,y,-z+3/4'
'x+3/4,-y,z+3/4'
'x+1/2,y+1/2,z'
'-x+1/2,-y+1/2,-z'
'-x+3/4,-y+3/4,z'
'x+3/4,y+3/4,-z'
'x+1/2,-y+3/4,-z+1/4'
'-x+1/2,y+3/4,z+1/4'
'-x+3/4,y+1/2,-z+1/4'
'x+3/4,-y+1/2,z+1/4'
loop_
_atom_site_label
_atom_site_fract_x
_atom_site_fract_y
_atom_site_fract_z
Tb1 0.125 0.295 0.125
Er1 0.125 0.125 0.625
Th1 0.000 0.000 0.500
```

Results
The energy of formation is 2.2 eV per formula unit. The value obtained for the energy above the most stable polymorph in this dataset is 22.4 kJ/mol of atoms.

***

CaZn3In3 | PBE | relaxed

CIF file:
```
data_CaZn3In3
_space_group_name_H-M_alt 'P m -3 n'
_space_group_IT_number 223
_space_group_name_Hall '-P 4n 2 3'
_cell_length_a 7.493
_cell_length_b 7.493
_cell_length_c 7.493
_cell_angle_alpha 90.00
_cell_angle_beta 90.00
_cell_angle_gamma 90.00
loop_
_atom_site_label
_atom_site_fract_x
_atom_site_fract_y
_atom_site_fract_z
Ca1 0.000 0.000 0.000
Zn1 0.000 0.250 0.500
In1 0.000 0.500 0.250
```

Results
The energy of formation is 1.5 eV per formula unit.

***

How do the records compare in ρ? In the order shown, they have 4.3 12.9 8.6 5.0 9.4 4.6 g/cm3.
How do the records compare in size of the total moment? In the order shown, they have 11.967 2.191 0.000 0.042 0.004 0.000 μB per cell.